Record 1
A plane-wave DFT calculation with meta-GGA SCAN was carried out for a PBEsol-optimized structure of NaBTe2I.

Energy relative to the elements, uncorrected ... 1.318 eV per atom

The structure in POSCAR format:
```
NaBTe2I
1.0
-2.764 -2.591 -3.855
2.888 -4.472 0.935
-3.822 -1.662 3.857
Te Na I B
2 1 1 1
Direct
0.500 0.000 0.000
0.000 0.500 0.000
0.000 0.000 0.000
0.000 0.000 0.500
0.500 0.500 0.500
```


Record 2
A plane-wave DFT calculation with meta-GGA SCAN was carried out for a PBEsol-optimized structure of SiTc2P.

Relative energy among the computed polymorphs ... 0.000 eV per formula unit
Energy relative to the elements, uncorrected ... -0.531 eV per atom

The structure in POSCAR format:
```
SiTc2P
1.0
-1.720 -0.048 2.551
1.307 -2.698 0.830
4.299 4.220 1.123
Tc Si P
2 1 1
Direct
0.041 0.041 0.081
0.797 0.297 0.595
0.207 0.707 0.414
0.455 0.455 0.910
```


Record 3
A plane-wave DFT calculation with meta-GGA SCAN was carried out for a PBEsol-optimized structure of MnBi2Mo.

DFT formation energy ... 0.564 eV/atom

The structure in POSCAR format:
```
MnBi2Mo
1.0
-3.375 3.445 0.339
-2.058 0.956 4.269
0.993 4.141 2.289
Mo Bi Mn
1 2 1
Direct
0.500 0.500 0.500
0.750 0.750 0.750
0.250 0.250 0.250
0.000 0.000 0.000
```


Record 4
A plane-wave DFT calculation with meta-GGA SCAN was carried out for a PBEsol-optimized structure of CsZnMo3.

DFT formation energy ... 2.294 eV/atom

The structure in POSCAR format:
```
CsZnMo3
1.0
-4.546 -1.126 -1.054
0.796 -4.522 1.400
-1.321 1.151 4.469
Mo Zn Cs
3 1 1
Direct
0.500 0.000 0.000
0.000 0.000 0.500
0.000 0.500 0.000
0.000 0.000 0.000
0.500 0.500 0.500
```